First-principles (meta-GGA SCAN) data for AsPb2Br at its PBEsol-relaxed geometry, as listed in Alexandria via LeMat-Bulk.

ΔE to the lowest computed polymorph ... 0.000 eV per atom
Uncorrected formation energy ... -1.6 eV per formula unit
Space-group type ... No. 166

a = 4.322 Å, b = 4.322 Å, c = 7.714 Å
α = 73.73°, β = 73.73°, γ = 60.00°
Element x y z (fractional)
Pb  0.738  0.738  0.786
Pb  0.262  0.262  0.214
As  0.000  0.000  0.000
Br  0.500  0.500  0.500

First-principles (meta-GGA SCAN) data for KBaLa2Co at its PBEsol-relaxed geometry, as listed in Alexandria via LeMat-Bulk.

Formation energy ... 1.032 eV/atom
Space-group type ... No. 123

a = 4.873 Å, b = 6.013 Å, c = 6.013 Å
α = 90.00°, β = 90.00°, γ = 90.00°
Element x y z (fractional)
K  0.500  0.500  0.500
Co  0.500  0.000  0.000
Ba  0.000  0.000  0.000
La  0.000  0.000  0.500
La  0.000  0.500  0.000

First-principles (meta-GGA SCAN) data for ZrSc2Tc at its PBEsol-relaxed geometry, as listed in Alexandria via LeMat-Bulk.

Formation energy ... 0.430 eV/atom
ΔE to the lowest computed polymorph ... 0.643 eV per atom
Space-group type ... No. 166

a = 3.019 Å, b = 3.019 Å, c = 10.188 Å
α = 81.48°, β = 81.48°, γ = 60.00°
Element x y z (fractional)
Sc  0.920  0.920  0.240
Sc  0.080  0.080  0.760
Tc  0.000  0.000  0.000
Zr  0.500  0.500  0.500

First-principles (meta-GGA SCAN) data for K2LiMn at its PBEsol-relaxed geometry, as listed in Alexandria via LeMat-Bulk.

Formation energy ... 0.495 eV/atom
ΔE to the lowest computed polymorph ... 0.000 eV per atom
Space-group type ... No. 65

a = 3.667 Å, b = 6.539 Å, c = 6.539 Å
α = 109.34°, β = 90.00°, γ = 90.00°
Element x y z (fractional)
K  0.000  0.500  0.000
K  0.000  0.000  0.500
Li  0.500  0.000  0.000
Mn  0.500  0.500  0.500

Values for raw total energy, eV per atom, ordered as above
-48.202; -29.247; -23.128; -8.830